No. 1
{"formula": "Y2PRh2", "functional": "GGA-PBE", "state": "relaxed", "lattice": [[6.849, 0.000, 0.000], [0.000, 6.849, 0.000], [0.000, 0.000, 4.129]], "species": ["Y", "Rh", "P", "P", "Y", "Rh", "Rh", "Y", "Rh", "Y"], "fractional_positions": [[0.327, 0.173, 0.500], [0.357, 0.857, 0.000], [0.500, 0.500, 0.000], [0.000, 0.000, 0.000], [0.173, 0.673, 0.500], [0.143, 0.357, 0.000], [0.857, 0.643, 0.000], [0.827, 0.327, 0.500], [0.643, 0.143, 0.000], [0.673, 0.827, 0.500]], "sg": "P4/mbm, No. 127", "formation_energy_kj_per_mol_atoms": -71.7, "e_tot_ev_per_atom": -7.351}

No. 2
{"formula": "Dy2ErZn5", "functional": "GGA-PBE", "state": "relaxed", "lattice": [[4.797, 0.000, 0.000], [0.000, 4.797, 0.000], [-2.399, -2.399, 7.036]], "species": ["Zn", "Dy", "Zn", "Dy", "Zn", "Zn", "Zn", "Er"], "fractional_positions": [[0.886, 0.386, 0.773], [0.266, 0.266, 0.532], [0.500, 0.500, 0.000], [0.734, 0.734, 0.468], [0.614, 0.114, 0.227], [0.114, 0.614, 0.227], [0.386, 0.886, 0.773], [0.000, 0.000, 0.000]], "sg": "I4/mmm, No. 139", "formation_energy_kj_per_mol_atoms": -30.0, "e_tot_ev_per_atom": -2.828}

No. 3
{"formula": "PmGa3Ir", "functional": "GGA-PBE", "state": "relaxed", "lattice": [[-2.083, 0.333, 4.919], [-7.518, -2.743, -2.998], [6.007, -2.968, -0.167]], "species": ["Ga", "Ga", "Ga", "Pm", "Ga", "Ga", "Pm", "Ir", "Ir", "Ga"], "fractional_positions": [[0.751, 0.751, 0.001], [0.250, 0.903, 0.500], [0.251, 0.751, 0.001], [0.750, 0.719, 0.500], [0.750, 0.097, 0.500], [0.249, 0.249, 0.999], [0.250, 0.281, 0.500], [0.500, 0.000, 0.000], [0.000, 0.500, 0.000], [0.749, 0.249, 0.999]], "sg": "Imma, No. 74", "formation_energy_kj_per_mol_atoms": -48.2, "e_tot_ev_per_atom": -5.038}

No. 4
{"formula": "Sc2PaC", "functional": "GGA-PBE", "state": "relaxed", "lattice": [[3.207, 0.000, 0.000], [1.603, 2.777, 0.000], [1.603, 0.926, 8.958]], "species": ["Sc", "C", "Sc", "Pa"], "fractional_positions": [[0.880, 0.880, 0.360], [0.500, 0.500, 0.500], [0.120, 0.120, 0.640], [0.000, 0.000, 0.000]], "sg": "R-3m, No. 166", "formation_energy_kj_per_mol_atoms": -14.0, "e_tot_ev_per_atom": -7.991}

No. 5
{"formula": "Np4P5Pd", "functional": "GGA-PBE", "state": "relaxed", "lattice": [[3.906, 0.000, 0.479], [1.924, 3.399, 0.479], [0.118, 0.069, 15.203]], "species": ["Np", "P", "P", "Np", "Np", "P", "Pd", "P", "Np", "P"], "fractional_positions": [[0.297, 0.297, 0.108], [0.000, 0.000, 0.000], [0.808, 0.808, 0.577], [0.703, 0.703, 0.892], [0.109, 0.109, 0.674], [0.594, 0.594, 0.217], [0.500, 0.500, 0.500], [0.192, 0.192, 0.423], [0.891, 0.891, 0.326], [0.406, 0.406, 0.783]], "sg": "R-3m, No. 166", "formation_energy_kj_per_mol_atoms": -70.2, "e_tot_ev_per_atom": -9.128}

No. 6
{"formula": "LaPa2Ge", "functional": "GGA-PBE", "state": "relaxed", "lattice": [[-0.495, -1.187, 2.920], [-1.988, -2.462, 0.405], [7.882, -8.493, -0.372]], "species": ["Ge", "La", "Pa", "Pa"], "fractional_positions": [[0.500, 0.500, 0.500], [0.000, 0.000, 0.000], [0.095, 0.095, 0.716], [0.905, 0.905, 0.284]], "sg": "R-3m, No. 166", "formation_energy_kj_per_mol_atoms": 13.3, "e_tot_ev_per_atom": -6.997}

No. 7
{"formula": "PaIrSe4", "functional": "GGA-PBE", "state": "relaxed", "lattice": [[-3.490, -3.099, 5.782], [3.340, -4.420, -4.952], [5.481, 4.027, 2.992]], "species": ["Pa", "Se", "Ir", "Pa", "Ir", "Se", "Se", "Se", "Se", "Se", "Se", "Se"], "fractional_positions": [[0.238, 0.238, 0.000], [0.711, 0.517, 0.194], [0.498, 0.998, 0.500], [0.988, 0.488, 0.500], [0.748, 0.748, 0.000], [0.740, 0.453, 0.713], [0.203, 0.990, 0.213], [0.323, 0.517, 0.806], [0.740, 0.027, 0.287], [0.267, 0.961, 0.694], [0.777, 0.990, 0.787], [0.267, 0.573, 0.306]], "sg": "I4_1md, No. 109", "e_form_raw_ev_per_atom": -0.638, "e_tot_ev_per_atom": -6.020}

No. 8
{"formula": "MoIr3S", "functional": "GGA-PBE", "state": "relaxed", "lattice": [[-0.429, -4.334, -0.609], [4.371, -0.394, -0.278], [0.220, -0.632, 4.346]], "species": ["Ir", "Ir", "Mo", "Ir", "S"], "fractional_positions": [[0.000, 0.500, 0.000], [0.500, 0.000, 0.000], [0.500, 0.500, 0.500], [0.000, 0.000, 0.500], [0.000, 0.000, 0.000]], "sg": "Pm-3m, No. 221", "e_form_raw_ev_per_atom": 1.032, "e_tot_ev_per_atom": -7.276}

No. 9
{"formula": "SiSnBi2Au6", "functional": "GGA-PBE", "state": "relaxed", "lattice": [[5.712, 0.000, 0.000], [0.000, 9.147, 0.000], [0.000, 0.000, 8.900]], "species": ["Au", "Au", "Au", "Bi", "Sn", "Bi", "Au", "Au", "Au", "Au", "Au", "Bi", "Si", "Au", "Si", "Au", "Au", "Sn", "Bi", "Au"], "fractional_positions": [[0.251, 0.546, 0.000], [0.751, 0.454, 0.500], [0.249, 0.454, 0.500], [0.000, 0.260, 0.243], [0.500, 0.288, 0.000], [0.500, 0.740, 0.743], [0.244, 0.006, 0.500], [0.000, 0.882, 0.752], [0.256, 0.994, 0.000], [0.744, 0.994, 0.000], [0.500, 0.118, 0.748], [0.500, 0.740, 0.257], [0.500, 0.241, 0.500], [0.749, 0.546, 0.000], [0.000, 0.759, 0.000], [0.000, 0.882, 0.248], [0.756, 0.006, 0.500], [0.000, 0.712, 0.500], [0.000, 0.260, 0.757], [0.500, 0.118, 0.252]], "sg": "Pmmn, No. 59", "e_form_raw_ev_per_atom": 0.023, "e_tot_ev_per_atom": -3.662}

No. 10
{"formula": "V4PtAu", "functional": "GGA-PBE", "state": "relaxed", "lattice": [[4.941, 0.000, 0.000], [2.471, 4.279, 0.000], [2.471, 1.426, 4.034]], "species": ["Pt", "Au", "V", "V", "V", "V"], "fractional_positions": [[0.250, 0.250, 0.250], [0.000, 0.000, 0.000], [0.625, 0.625, 0.625], [0.124, 0.625, 0.625], [0.625, 0.124, 0.625], [0.625, 0.625, 0.124]], "sg": "F-43m, No. 216", "formation_energy_kj_per_mol_atoms": -11.9, "e_tot_ev_per_atom": -7.755}

No. 11
{"formula": "Sm2EuAl", "functional": "GGA-PBE", "state": "relaxed", "lattice": [[-1.587, 5.090, 1.275], [-4.873, 1.857, -1.691], [-4.041, 0.786, 3.621]], "species": ["Sm", "Al", "Eu", "Sm"], "fractional_positions": [[0.250, 0.250, 0.250], [0.500, 0.500, 0.500], [0.000, 0.000, 0.000], [0.750, 0.750, 0.750]], "sg": "Fm-3m, No. 225", "formation_energy_kj_per_mol_atoms": -4.7, "e_tot_ev_per_atom": -5.912}